[1]
LiPuHfFe PBE-GGA optimized geometry; ΔE_f = 0.17 eV per atom; calculated density = 11.41 g/cm³; raw total energy = -0.3123 Ha/atom; density of states at the Fermi level = 7.9 states/eV/f.u.
1.0
0.000 3.281 3.281
3.281 0.000 3.281
3.281 3.281 0.000
Li Pu Hf Fe
1 1 1 1
direct
0.000 0.000 0.000 Li
0.250 0.250 0.250 Pu
0.750 0.750 0.750 Hf
0.500 0.500 0.500 Fe

---

[2]
LiHfFeSb PBE-GGA optimized geometry; uncorrected formation energy = -0.369 eV/atom; calculated density = 9.89 g/cm³; raw total energy = -0.2382 Ha/atom
1.0
0.000 3.123 3.123
3.123 0.000 3.123
3.123 3.123 0.000
Li Hf Fe Sb
1 1 1 1
direct
0.000 0.000 0.000 Li
0.750 0.750 0.750 Hf
0.500 0.500 0.500 Fe
0.250 0.250 0.250 Sb